1.
# CaGeSe2, relaxed, DFT PBE
data_CaGeSe2
_space_group_name_H-M_alt 'R 3 m'
_space_group_IT_number 160
_space_group_name_Hall 'R 3 -2"'
_cell_length_a 4.0665
_cell_length_b 4.0665
_cell_length_c 21.1048
_cell_angle_alpha 90.00
_cell_angle_beta 90.00
_cell_angle_gamma 120.00
loop_
_atom_site_label
_atom_site_fract_x
_atom_site_fract_y
_atom_site_fract_z
_atom_site_occupancy
Ca1 0.0000 0.0000 0.0000 1
Ge1 0.0000 0.0000 0.1681 1
Se1 0.0000 0.0000 0.5797 1
Se2 0.0000 0.0000 0.7559 1
# Total magnetization, μB per atom: 0.000
# Crystal system: trigonal
# ΔE_f (raw), meV/atom: -996
# Polymorph energy (0 for the lowest one), kJ/mol of atoms: 12.45
# Raw total energy, eV per atom: -4.3934


2.
# Ca2TaGeSe, relaxed, DFT PBE
data_Ca2TaGeSe
_space_group_name_H-M_alt 'P 4/m m m'
_space_group_IT_number 123
_space_group_name_Hall '-P 4 2'
_cell_length_a 5.380
_cell_length_b 5.380
_cell_length_c 4.830
_cell_angle_alpha 90.00
_cell_angle_beta 90.00
_cell_angle_gamma 90.00
loop_
_atom_site_label
_atom_site_fract_x
_atom_site_fract_y
_atom_site_fract_z
_atom_site_occupancy
Ca1 0.000 0.500 0.000 1
Ta1 0.000 0.000 0.500 1
Ge1 0.500 0.500 0.500 1
Se1 0.000 0.000 0.000 1
# Total magnetization, μB per atom: 0.298
# Crystal system: tetragonal
# ΔE_f (raw), meV/atom: 45
# Raw total energy, eV per atom: -4.7465


3.
# Ca2TiGeSe, relaxed, DFT PBE
data_Ca2TiGeSe
_space_group_name_H-M_alt 'P 4/m m m'
_space_group_IT_number 123
_space_group_name_Hall '-P 4 2'
_cell_length_a 5.423
_cell_length_b 5.423
_cell_length_c 4.824
_cell_angle_alpha 90.00
_cell_angle_beta 90.00
_cell_angle_gamma 90.00
loop_
_atom_site_label
_atom_site_fract_x
_atom_site_fract_y
_atom_site_fract_z
_atom_site_occupancy
Ca1 0.000 0.500 0.000 1
Ti1 0.000 0.000 0.500 1
Ge1 0.500 0.500 0.500 1
Se1 0.000 0.000 0.000 1
# Total magnetization, μB per atom: 0.400
# Crystal system: tetragonal
# ΔE_f (raw), meV/atom: -371
# Raw total energy, eV per atom: -4.3707


4.
# CaTl2GeSe4, relaxed, DFT PBE
data_CaTl2GeSe4
_space_group_name_H-M_alt 'I m m a'
_space_group_IT_number 74
_space_group_name_Hall '-I 2b 2'
_cell_length_a 8.397
_cell_length_b 8.605
_cell_length_c 11.905
_cell_angle_alpha 90.00
_cell_angle_beta 90.00
_cell_angle_gamma 90.00
loop_
_atom_site_label
_atom_site_fract_x
_atom_site_fract_y
_atom_site_fract_z
_atom_site_occupancy
Ca1 0.000 0.000 0.000 1
Tl1 0.000 0.000 0.500 1
Tl2 0.250 0.250 0.250 1
Ge1 0.250 0.250 0.750 1
Se1 0.000 0.033 0.754 1
Se2 0.239 0.250 0.981 1
# Total magnetization, μB per atom: 0.000
# Crystal system: orthorhombic
# ΔE_f (raw), meV/atom: -631
# Raw total energy, eV per atom: -3.7923


5.
# CaSiGe, relaxed, DFT PBE
data_CaSiGe
_space_group_name_H-M_alt 'I m m m'
_space_group_IT_number 71
_space_group_name_Hall '-I 2 2'
_cell_length_a 4.454
_cell_length_b 4.761
_cell_length_c 14.072
_cell_angle_alpha 90.00
_cell_angle_beta 90.00
_cell_angle_gamma 90.00
loop_
_atom_site_label
_atom_site_fract_x
_atom_site_fract_y
_atom_site_fract_z
_atom_site_occupancy
Ca1 0.000 0.000 0.141 1
Si1 0.000 0.264 0.500 1
Ge1 0.000 0.000 0.352 1
# Total magnetization, μB per atom: 0.000
# Crystal system: orthorhombic
# ΔE_f (raw), meV/atom: -261
# Polymorph energy (0 for the lowest one), kJ/mol of atoms: 16.05
# Raw total energy, eV per atom: -4.2750


6.
# CaSi2Ge2, relaxed, DFT PBE
data_CaSi2Ge2
_space_group_name_H-M_alt 'P 4/m b m'
_space_group_IT_number 127
_space_group_name_Hall '-P 4 2ab'
_cell_length_a 7.465
_cell_length_b 7.465
_cell_length_c 3.682
_cell_angle_alpha 90.00
_cell_angle_beta 90.00
_cell_angle_gamma 90.00
loop_
_atom_site_label
_atom_site_fract_x
_atom_site_fract_y
_atom_site_fract_z
_atom_site_occupancy
Ca1 0.000 0.000 0.000 1
Si1 0.116 0.384 0.000 1
Ge1 0.148 0.648 0.500 1
# Total magnetization, μB per atom: 0.000
# Crystal system: tetragonal
# ΔE_f (raw), meV/atom: 10
# Polymorph energy (0 for the lowest one), kJ/mol of atoms: 10.71
# Raw total energy, eV per atom: -4.4067


7.
# CaSiGe, relaxed, DFT PBE
data_CaSiGe
_space_group_name_H-M_alt 'R -3 m'
_space_group_IT_number 166
_space_group_name_Hall '-R 3 2"'
_cell_length_a 3.9205
_cell_length_b 3.9205
_cell_length_c 31.6939
_cell_angle_alpha 90.00
_cell_angle_beta 90.00
_cell_angle_gamma 120.00
loop_
_atom_site_label
_atom_site_fract_x
_atom_site_fract_y
_atom_site_fract_z
_atom_site_occupancy
Ca1 0.0000 0.0000 0.0000 1
Ca2 0.0000 0.0000 0.5000 1
Si1 0.0000 0.0000 0.0999 1
Ge1 0.0000 0.0000 0.4002 1
# Total magnetization, μB per atom: 0.000
# Crystal system: trigonal
# ΔE_f (raw), meV/atom: -421
# Polymorph energy (0 for the lowest one), kJ/mol of atoms: 0.61
# Raw total energy, eV per atom: -4.4351


8.
# Ca3Si2Ge4, relaxed, DFT PBE
data_Ca3Si2Ge4
_space_group_name_H-M_alt 'C 1 2/m 1'
_space_group_IT_number 12
_cell_length_a 11.713
_cell_length_b 3.977
_cell_length_c 9.177
_cell_angle_alpha 90.00
_cell_angle_beta 105.68
_cell_angle_gamma 90.00
loop_
_space_group_symop_operation_xyz
'x,y,z'
'-x,-y,-z'
'-x,y,-z'
'x,-y,z'
'x+1/2,y+1/2,z'
'-x+1/2,-y+1/2,-z'
'-x+1/2,y+1/2,-z'
'x+1/2,-y+1/2,z'
loop_
_atom_site_label
_atom_site_fract_x
_atom_site_fract_y
_atom_site_fract_z
_atom_site_occupancy
Ca1 0.000 0.000 0.000 1
Ca2 0.166 0.500 0.663 1
Si1 0.114 0.500 0.270 1
Ge1 0.057 0.000 0.388 1
Ge2 0.220 0.500 0.065 1
# Total magnetization, μB per atom: 0.000
# Crystal system: monoclinic
# ΔE_f (raw), meV/atom: -360
# Polymorph energy (0 for the lowest one), kJ/mol of atoms: 0.00
# Raw total energy, eV per atom: -4.2847


9.
# CaSi2Ge2, relaxed, DFT PBE
data_CaSi2Ge2
_space_group_name_H-M_alt 'I 4/m m m'
_space_group_IT_number 139
_space_group_name_Hall '-I 4 2'
_cell_length_a 4.833
_cell_length_b 4.833
_cell_length_c 8.634
_cell_angle_alpha 90.00
_cell_angle_beta 90.00
_cell_angle_gamma 90.00
loop_
_atom_site_label
_atom_site_fract_x
_atom_site_fract_y
_atom_site_fract_z
_atom_site_occupancy
Ca1 0.000 0.000 0.000 1
Si1 0.000 0.000 0.360 1
Ge1 0.000 0.500 0.250 1
# Total magnetization, μB per atom: 0.000
# Crystal system: tetragonal
# ΔE_f (raw), meV/atom: -101
# Polymorph energy (0 for the lowest one), kJ/mol of atoms: 0.00
# Raw total energy, eV per atom: -4.5176


10.
# CaSi2Ge2, relaxed, DFT PBE
data_CaSi2Ge2
_space_group_name_H-M_alt 'I 4/m m m'
_space_group_IT_number 139
_space_group_name_Hall '-I 4 2'
_cell_length_a 4.775
_cell_length_b 4.775
_cell_length_c 9.091
_cell_angle_alpha 90.00
_cell_angle_beta 90.00
_cell_angle_gamma 90.00
loop_
_atom_site_label
_atom_site_fract_x
_atom_site_fract_y
_atom_site_fract_z
_atom_site_occupancy
Ca1 0.000 0.000 0.000 1
Si1 0.000 0.500 0.250 1
Ge1 0.000 0.000 0.356 1
# Total magnetization, μB per atom: 0.000
# Crystal system: tetragonal
# ΔE_f (raw), meV/atom: -32
# Polymorph energy (0 for the lowest one), kJ/mol of atoms: 6.64
# Raw total energy, eV per atom: -4.4488


11.
# CaSiGe, relaxed, DFT PBE
data_CaSiGe
_space_group_name_H-M_alt 'P 63 m c'
_space_group_IT_number 186
_space_group_name_Hall 'P 6c -2c'
_cell_length_a 3.9509
_cell_length_b 3.9509
_cell_length_c 10.2275
_cell_angle_alpha 90.00
_cell_angle_beta 90.00
_cell_angle_gamma 120.00
loop_
_atom_site_label
_atom_site_fract_x
_atom_site_fract_y
_atom_site_fract_z
_atom_site_occupancy
Ca1 0.3333 0.6667 0.0000 1
Si1 0.3333 0.6667 0.3098 1
Ge1 0.0000 0.0000 0.2119 1
# Total magnetization, μB per atom: 0.000
# Crystal system: hexagonal
# ΔE_f (raw), meV/atom: -420
# Polymorph energy (0 for the lowest one), kJ/mol of atoms: 0.74
# Raw total energy, eV per atom: -4.4337


12.
# Ca3Si2Ge4, relaxed, DFT PBE
data_Ca3Si2Ge4
_space_group_name_H-M_alt 'C 1 2/m 1'
_space_group_IT_number 12
_cell_length_a 11.192
_cell_length_b 4.340
_cell_length_c 8.689
_cell_angle_alpha 90.00
_cell_angle_beta 108.49
_cell_angle_gamma 90.00
loop_
_space_group_symop_operation_xyz
'x,y,z'
'-x,-y,-z'
'-x,y,-z'
'x,-y,z'
'x+1/2,y+1/2,z'
'-x+1/2,-y+1/2,-z'
'-x+1/2,y+1/2,-z'
'x+1/2,-y+1/2,z'
loop_
_atom_site_label
_atom_site_fract_x
_atom_site_fract_y
_atom_site_fract_z
_atom_site_occupancy
Ca1 0.000 0.000 0.000 1
Ca2 0.112 0.500 0.695 1
Si1 0.202 0.500 0.357 1
Ge1 0.101 0.000 0.394 1
Ge2 0.213 0.500 0.065 1
# Total magnetization, μB per atom: 0.000
# Crystal system: monoclinic
# ΔE_f (raw), meV/atom: -338
# Polymorph energy (0 for the lowest one), kJ/mol of atoms: 2.15
# Raw total energy, eV per atom: -4.2624


13.
# CaSiGe, relaxed, DFT PBE
data_CaSiGe
_space_group_name_H-M_alt 'R 3 m'
_space_group_IT_number 160
_space_group_name_Hall 'R 3 -2"'
_cell_length_a 3.9204
_cell_length_b 3.9204
_cell_length_c 15.8487
_cell_angle_alpha 90.00
_cell_angle_beta 90.00
_cell_angle_gamma 120.00
loop_
_atom_site_label
_atom_site_fract_x
_atom_site_fract_y
_atom_site_fract_z
_atom_site_occupancy
Ca1 0.0000 0.0000 0.0000 1
Si1 0.0000 0.0000 0.7996 1
Ge1 0.0000 0.0000 0.1991 1
# Total magnetization, μB per atom: 0.000
# Crystal system: trigonal
# ΔE_f (raw), meV/atom: -422
# Polymorph energy (0 for the lowest one), kJ/mol of atoms: 0.56
# Raw total energy, eV per atom: -4.4355


14.
# Ca6Si2Ge, relaxed, DFT PBE
data_Ca6Si2Ge
_space_group_name_H-M_alt 'I m m m'
_space_group_IT_number 71
_space_group_name_Hall '-I 2 2'
_cell_length_a 9.729
_cell_length_b 9.878
_cell_length_c 10.662
_cell_angle_alpha 90.00
_cell_angle_beta 90.00
_cell_angle_gamma 90.00
loop_
_atom_site_label
_atom_site_fract_x
_atom_site_fract_y
_atom_site_fract_z
_atom_site_occupancy
Ca1 0.000 0.197 0.246 1
Ca2 0.192 0.500 0.169 1
Ca3 0.228 0.321 0.500 1
Si1 0.000 0.343 0.000 1
Si2 0.000 0.500 0.387 1
Ge1 0.000 0.000 0.000 1
Ge2 0.000 0.000 0.500 1
# Total magnetization, μB per atom: 0.183
# Crystal system: orthorhombic
# ΔE_f (raw), meV/atom: -420
# Raw total energy, eV per atom: -3.4727


15.
# CaSiGe, relaxed, DFT PBE
data_CaSiGe
_space_group_name_H-M_alt 'C 1 2/m 1'
_space_group_IT_number 12
_cell_length_a 11.227
_cell_length_b 4.018
_cell_length_c 7.230
_cell_angle_alpha 90.00
_cell_angle_beta 128.72
_cell_angle_gamma 90.00
loop_
_space_group_symop_operation_xyz
'x,y,z'
'-x,-y,-z'
'-x,y,-z'
'x,-y,z'
'x+1/2,y+1/2,z'
'-x+1/2,-y+1/2,-z'
'-x+1/2,y+1/2,-z'
'x+1/2,-y+1/2,z'
loop_
_atom_site_label
_atom_site_fract_x
_atom_site_fract_y
_atom_site_fract_z
_atom_site_occupancy
Ca1 0.063 0.000 0.318 1
Si1 0.151 0.500 0.097 1
Ge1 0.175 0.500 0.736 1
# Total magnetization, μB per atom: 0.000
# Crystal system: monoclinic
# ΔE_f (raw), meV/atom: -296
# Polymorph energy (0 for the lowest one), kJ/mol of atoms: 12.63
# Raw total energy, eV per atom: -4.3104


16.
# Ca5SiGe2, relaxed, DFT PBE
data_Ca5SiGe2
_space_group_name_H-M_alt 'I 4/m c m'
_space_group_IT_number 140
_space_group_name_Hall '-I 4 2c'
_cell_length_a 7.701
_cell_length_b 7.701
_cell_length_c 14.798
_cell_angle_alpha 90.00
_cell_angle_beta 90.00
_cell_angle_gamma 90.00
loop_
_atom_site_label
_atom_site_fract_x
_atom_site_fract_y
_atom_site_fract_z
_atom_site_occupancy
Ca1 0.000 0.000 0.000 1
Ca2 0.178 0.322 0.141 1
Si1 0.000 0.000 0.250 1
Ge1 0.118 0.382 0.500 1
# Total magnetization, μB per atom: 0.000
# Crystal system: tetragonal
# ΔE_f (raw), meV/atom: -567
# Raw total energy, eV per atom: -3.6499


17.
# Ca3Si2Ge, relaxed, DFT PBE
data_Ca3Si2Ge
_space_group_name_H-M_alt 'P n m a'
_space_group_IT_number 62
_cell_length_a 11.746
_cell_length_b 4.243
_cell_length_c 12.089
_cell_angle_alpha 90.00
_cell_angle_beta 90.00
_cell_angle_gamma 90.00
loop_
_space_group_symop_operation_xyz
'x,y,z'
'-x,-y,-z'
'-x+1/2,-y,z+1/2'
'x+1/2,y,-z+1/2'
'x+1/2,-y+1/2,-z+1/2'
'-x+1/2,y+1/2,z+1/2'
'-x,y+1/2,-z'
'x,-y+1/2,z'
loop_
_atom_site_label
_atom_site_fract_x
_atom_site_fract_y
_atom_site_fract_z
_atom_site_occupancy
Ca1 0.071 0.250 0.113 1
Ca2 0.120 0.750 0.553 1
Ca3 0.193 0.250 0.799 1
Si1 0.029 0.750 0.319 1
Si2 0.199 0.750 0.990 1
Ge1 0.146 0.250 0.348 1
# Total magnetization, μB per atom: 0.000
# Crystal system: orthorhombic
# ΔE_f (raw), meV/atom: -436
# Raw total energy, eV per atom: -4.0141


18.
# CaSiGe, relaxed, DFT PBE
data_CaSiGe
_space_group_name_H-M_alt 'C 1 2/m 1'
_space_group_IT_number 12
_cell_length_a 12.037
_cell_length_b 3.976
_cell_length_c 6.871
_cell_angle_alpha 90.00
_cell_angle_beta 124.63
_cell_angle_gamma 90.00
loop_
_space_group_symop_operation_xyz
'x,y,z'
'-x,-y,-z'
'-x,y,-z'
'x,-y,z'
'x+1/2,y+1/2,z'
'-x+1/2,-y+1/2,-z'
'-x+1/2,y+1/2,-z'
'x+1/2,-y+1/2,z'
loop_
_atom_site_label
_atom_site_fract_x
_atom_site_fract_y
_atom_site_fract_z
_atom_site_occupancy
Ca1 0.248 0.000 0.241 1
Si1 0.046 0.000 0.707 1
Ge1 0.050 0.500 0.223 1
# Total magnetization, μB per atom: 0.000
# Crystal system: monoclinic
# ΔE_f (raw), meV/atom: -405
# Polymorph energy (0 for the lowest one), kJ/mol of atoms: 2.15
# Raw total energy, eV per atom: -4.4191


19.
# CaSiGe, relaxed, DFT PBE
data_CaSiGe
_space_group_name_H-M_alt 'P 1 2/m 1'
_space_group_IT_number 10
_cell_length_a 5.739
_cell_length_b 3.928
_cell_length_c 6.784
_cell_angle_alpha 90.00
_cell_angle_beta 113.19
_cell_angle_gamma 90.00
loop_
_space_group_symop_operation_xyz
'x,y,z'
'-x,-y,-z'
'-x,y,-z'
'x,-y,z'
loop_
_atom_site_label
_atom_site_fract_x
_atom_site_fract_y
_atom_site_fract_z
_atom_site_occupancy
Ca1 0.000 0.000 0.000 1
Ca2 0.000 0.500 0.500 1
Si1 0.403 0.000 0.806 1
Ge1 0.399 0.500 0.294 1
# Total magnetization, μB per atom: 0.000
# Crystal system: monoclinic
# ΔE_f (raw), meV/atom: -425
# Polymorph energy (0 for the lowest one), kJ/mol of atoms: 0.19
# Raw total energy, eV per atom: -4.4394


20.
# Ca3SiGe, relaxed, DFT PBE
data_Ca3SiGe
_space_group_name_H-M_alt 'P m -3 m'
_space_group_IT_number 221
_space_group_name_Hall '-P 4 2 3'
_cell_length_a 5.555
_cell_length_b 5.555
_cell_length_c 5.555
_cell_angle_alpha 90.00
_cell_angle_beta 90.00
_cell_angle_gamma 90.00
loop_
_atom_site_label
_atom_site_fract_x
_atom_site_fract_y
_atom_site_fract_z
_atom_site_occupancy
Ca1 0.000 0.000 0.500 1
Si1 0.000 0.000 0.000 1
Ge1 0.500 0.500 0.500 1
# Total magnetization, μB per atom: 0.211
# Crystal system: cubic
# ΔE_f (raw), meV/atom: -29
# Polymorph energy (0 for the lowest one), kJ/mol of atoms: 0.00
# Raw total energy, eV per atom: -3.2380